1.
The following is a PBE calculation of a relaxed Th3AlH crystal, from Alexandria.

Summary:
The volume comes out at 23.9 Å³/atom. The total energy comes out at -6.052 eV per atom. The magnetic moment comes out at 0.00 μB/cell.

Unit cell a=4.9236 b=4.9236 c=4.9236 alpha=90.00 beta=90.00 gamma=90.00
With the nearest neighbours (Å) after each atom.
Atoms (fractional coordinates):
Th: 0.0000 0.0000 0.5000  2 H 2.46
Th: 0.0000 0.5000 0.0000  2 H 2.46
Th: 0.5000 0.0000 0.0000  2 H 2.46
Al: 0.5000 0.5000 0.5000  12 Th 3.48
H: 0.0000 0.0000 0.0000  6 Th 2.46

---

2.
The following is a PBE calculation of a relaxed ThAlH crystal, from Alexandria.

Summary:
The value obtained for the relative energy among the computed polymorphs is 423.3 meV per atom. The volume comes out at 19.9 Å³/atom. The magnetic moment comes out at 0.00 μB/cell.

Unit cell a=5.9379 b=5.9379 c=5.9379 alpha=147.65 beta=147.65 gamma=46.40
With the nearest neighbours (Å) after each atom.
Atoms (fractional coordinates):
Th: 0.0000 0.0000 0.0000  4 H 2.41
Al: 0.7106 0.7106 0.0000  1 H 2.89, 1 Th 3.16
H: 0.4457 0.4457 0.0000  4 Th 2.41

---

3.
The following is a PBE calculation of a relaxed TiAl2H2 crystal, from Alexandria.

Summary:
The volume comes out at 11.3 Å³/atom. The total energy comes out at -4.513 eV per atom. The magnetic moment comes out at 0.00 μB/cell.

Unit cell a=5.3969 b=5.3969 c=3.8905 alpha=90.00 beta=90.00 gamma=90.00
With the nearest neighbours (Å) after each atom.
Atoms (fractional coordinates):
Ti: 0.0000 0.0000 0.0000  4 H 1.97
Ti: 0.5000 0.5000 0.0000  4 H 1.97
Al: 0.1879 0.3121 0.5000  2 H 1.95
Al: 0.3121 0.8121 0.5000  2 H 1.95
Al: 0.6879 0.1879 0.5000  2 H 1.95
Al: 0.8121 0.6879 0.5000  2 H 1.95
H: 0.1864 0.3136 0.0000  2 Al 1.95, 2 Ti 1.97
H: 0.3136 0.8136 0.0000  2 Al 1.95, 2 Ti 1.97
H: 0.6864 0.1864 0.0000  2 Al 1.95, 2 Ti 1.97
H: 0.8136 0.6864 0.0000  2 Al 1.95, 2 Ti 1.97

---

4.
The following is a PBE calculation of a relaxed Ti6AlH8 crystal, from Alexandria.

Summary:
The volume comes out at 9.2 Å³/atom. The total energy comes out at -5.582 eV per atom. The magnetic moment comes out at 0.00 μB/cell.

Unit cell a=5.2472 b=5.2472 c=5.2472 alpha=99.23 beta=99.23 gamma=99.23
With the nearest neighbours (Å) after each atom.
Atoms (fractional coordinates):
Ti: 0.0754 0.7650 0.6381  5 H 1.86-1.95
Ti: 0.2350 0.3619 0.9246  5 H 1.86-1.95
Ti: 0.3619 0.9246 0.2350  5 H 1.86-1.95
Ti: 0.6381 0.0754 0.7650  5 H 1.86-1.95
Ti: 0.7650 0.6381 0.0754  5 H 1.86-1.95
Ti: 0.9246 0.2350 0.3619  5 H 1.86-1.95
Al: 0.5000 0.5000 0.5000  2 H 1.98
H: 0.0271 0.8919 0.3240  4 Ti 1.87-1.95, 1 H 2.09
H: 0.1081 0.6760 0.9729  4 Ti 1.87-1.95, 1 H 2.09
H: 0.2360 0.2360 0.2360  3 Ti 1.86, 1 Al 1.98
H: 0.3240 0.0271 0.8919  4 Ti 1.87-1.95, 1 H 2.09
H: 0.6760 0.9729 0.1081  4 Ti 1.87-1.95, 1 H 2.09
H: 0.7640 0.7640 0.7640  3 Ti 1.86, 1 Al 1.98
H: 0.8919 0.3240 0.0271  4 Ti 1.87-1.95, 1 H 2.09
H: 0.9729 0.1081 0.6760  4 Ti 1.87-1.95, 1 H 2.09

---

5.
The following is a PBE calculation of a relaxed Ti2Al2H crystal, from Alexandria.

Summary:
The volume comes out at 14.4 Å³/atom. The total energy comes out at -5.509 eV per atom. The magnetic moment comes out at 0.00 μB/cell.

Unit cell a=5.5082 b=5.5082 c=4.7347 alpha=90.00 beta=90.00 gamma=90.00
With the nearest neighbours (Å) after each atom.
Atoms (fractional coordinates):
Ti: 0.1636 0.3364 0.0000  2 H 2.06
Ti: 0.3364 0.8364 0.0000  2 H 2.06
Ti: 0.6636 0.1636 0.0000  2 H 2.06
Ti: 0.8364 0.6636 0.0000  2 H 2.06
Al: 0.1641 0.6641 0.5000  1 Al 2.56, 2 Ti 2.72
Al: 0.3359 0.1641 0.5000  1 Al 2.56, 2 Ti 2.72
Al: 0.6641 0.8359 0.5000  1 Al 2.56, 2 Ti 2.72
Al: 0.8359 0.3359 0.5000  1 Al 2.56, 2 Ti 2.72
H: 0.0000 0.0000 0.0000  4 Ti 2.06
H: 0.5000 0.5000 0.0000  4 Ti 2.06

---

6.
The following is a PBE calculation of a relaxed TiAlH3 crystal, from Alexandria.

Summary:
The value obtained for the relative energy among the computed polymorphs is 354.0 meV per atom. The volume comes out at 8.4 Å³/atom. The magnetic moment comes out at 0.00 μB/cell.

Unit cell a=3.4703 b=3.4703 c=3.4703 alpha=90.00 beta=90.00 gamma=90.00
With the nearest neighbours (Å) after each atom.
Atoms (fractional coordinates):
Ti: 0.0000 0.0000 0.0000  12 H 2.45
Al: 0.5000 0.5000 0.5000  6 H 1.74
H: 0.0000 0.5000 0.5000  2 Al 1.74
H: 0.5000 0.0000 0.5000  2 Al 1.74
H: 0.5000 0.5000 0.0000  2 Al 1.74

---

7.
The following is a PBE calculation of a relaxed Ti6Al2H crystal, from Alexandria.

Summary:
The value obtained for the relative energy among the computed polymorphs is 0.0 meV per atom. The volume comes out at 14.8 Å³/atom. The magnetic moment comes out at 0.00 μB/cell.

Unit cell a=5.7386 b=5.7386 c=5.7386 alpha=60.00 beta=60.00 gamma=60.00
With the nearest neighbours (Å) after each atom.
Atoms (fractional coordinates):
Ti: 0.2484 0.2484 0.7516  1 H 2.04
Ti: 0.2484 0.7516 0.2484  1 H 2.04
Ti: 0.2484 0.7516 0.7516  1 H 2.04
Ti: 0.7516 0.2484 0.2484  1 H 2.04
Ti: 0.7516 0.2484 0.7516  1 H 2.04
Ti: 0.7516 0.7516 0.2484  1 H 2.04
Al: 0.2500 0.2500 0.2500  12 Ti 2.87
Al: 0.7500 0.7500 0.7500  12 Ti 2.87
H: 0.5000 0.5000 0.5000  6 Ti 2.04

---

8.
The following is a PBE calculation of a relaxed Ti5Al2H2 crystal, from Alexandria.

Summary:
The volume comes out at 13.3 Å³/atom. The total energy comes out at -6.315 eV per atom. The magnetic moment comes out at 0.00 μB/cell.

Unit cell a=5.1648 b=5.1648 c=6.4916 alpha=94.94 beta=94.94 gamma=43.88
With the nearest neighbours (Å) after each atom.
Atoms (fractional coordinates):
Ti: 0.0000 0.0000 0.0000  2 H 1.87
Ti: 0.1428 0.1428 0.4294  1 H 2.05
Ti: 0.2814 0.2814 0.8527  3 H 1.96-2.07
Ti: 0.7186 0.7186 0.1473  3 H 1.96-2.07
Ti: 0.8572 0.8572 0.5706  1 H 2.05
Al: 0.4331 0.4331 0.2877  1 H 2.52, 4 Ti 2.80-2.81
Al: 0.5669 0.5669 0.7123  1 H 2.52, 4 Ti 2.80-2.81
H: 0.1839 0.1839 0.1248  5 Ti 1.87-2.07
H: 0.8161 0.8161 0.8752  5 Ti 1.87-2.07

---

9.
The following is a PBE calculation of a relaxed TiAl2H crystal, from Alexandria.

Summary:
The value obtained for the relative energy among the computed polymorphs is 474.7 meV per atom. The volume comes out at 14.9 Å³/atom. The magnetic moment comes out at 0.90 μB/cell.

Unit cell a=4.3809 b=4.3809 c=4.3809 alpha=60.00 beta=60.00 gamma=60.00
With the nearest neighbours (Å) after each atom.
Atoms (fractional coordinates):
Ti: 0.0000 0.0000 0.0000  8 Al 2.68
Al: 0.2500 0.2500 0.2500  4 H 2.68, 4 Ti 2.68
Al: 0.7500 0.7500 0.7500  4 H 2.68, 4 Ti 2.68
H: 0.5000 0.5000 0.5000  8 Al 2.68

---

10.
The following is a PBE calculation of a relaxed Ti5Al4H crystal, from Alexandria.

Summary:
The volume comes out at 14.9 Å³/atom. The total energy comes out at -6.098 eV per atom. The magnetic moment comes out at 0.00 μB/cell.

Unit cell a=6.3860 b=6.3860 c=6.3860 alpha=95.83 beta=95.83 gamma=142.82
With the nearest neighbours (Å) after each atom.
Atoms (fractional coordinates):
Ti: 0.0000 0.0000 0.0000  2 H 2.04
Ti: 0.3295 0.3295 0.6590  1 H 2.06
Ti: 0.3295 0.6705 0.0000  1 H 2.06
Ti: 0.6705 0.3295 0.0000  1 H 2.06
Ti: 0.6705 0.6705 0.3409  1 H 2.06
Al: 0.0000 0.3273 0.3273  7 Ti 2.80-2.84, 5 Al 2.92-2.96
Al: 0.0000 0.6727 0.6727  7 Ti 2.80-2.84, 5 Al 2.92-2.96
Al: 0.3273 0.0000 0.3273  7 Ti 2.80-2.84, 5 Al 2.92-2.96
Al: 0.6727 0.0000 0.6727  7 Ti 2.80-2.84, 5 Al 2.92-2.96
H: 0.5000 0.5000 0.0000  6 Ti 2.04-2.06

---

11.
The following is a PBE calculation of a relaxed TiAl2H crystal, from Alexandria.

Summary:
The value obtained for the relative energy among the computed polymorphs is 0.0 meV per atom. The volume comes out at 13.5 Å³/atom. The magnetic moment comes out at 0.00 μB/cell.

Unit cell a=5.3063 b=5.3063 c=5.3063 alpha=118.36 beta=118.36 gamma=92.87
With the nearest neighbours (Å) after each atom.
Atoms (fractional coordinates):
Ti: 0.0000 0.0000 0.0000  8 Al 2.79-3.10
Ti: 0.7500 0.2500 0.5000  8 Al 2.79-3.10
Al: 0.2898 0.6250 0.1648  2 H 1.70
Al: 0.3750 0.5398 0.6648  2 H 1.70
Al: 0.4602 0.1250 0.8352  2 H 1.70
Al: 0.8750 0.7102 0.3352  2 H 1.70
H: 0.2500 0.7500 0.5000  4 Al 1.70
H: 0.5000 0.5000 0.0000  4 Al 1.70

---

12.
The following is a PBE calculation of a relaxed TiAl3H crystal, from Alexandria.

Summary:
The value obtained for the relative energy among the computed polymorphs is 0.0 meV per atom. The volume comes out at 12.9 Å³/atom. The magnetic moment comes out at 0.00 μB/cell.

Unit cell a=4.0141 b=4.0141 c=4.0141 alpha=90.00 beta=90.00 gamma=90.00
With the nearest neighbours (Å) after each atom.
Atoms (fractional coordinates):
Ti: 0.0000 0.0000 0.0000  12 Al 2.84
Al: 0.0000 0.5000 0.5000  2 H 2.01
Al: 0.5000 0.0000 0.5000  2 H 2.01
Al: 0.5000 0.5000 0.0000  2 H 2.01
H: 0.5000 0.5000 0.5000  6 Al 2.01

---

> What is the magnetic moment in the eleventh record?

0.00 μB/cell

---

> Which value of magnetic moment does entry 3 give?

0.00 μB/cell

---

> What is the magnetic moment in the third record?

0.00 μB/cell